# 1
First-principles (PBE) data for crystalline CuPt2Br at its relaxed geometry, as listed in the Alexandria database.

```
CuPt2Br
1.0
-1.464 2.345 4.863
1.464 -2.345 4.863
1.464 2.345 -4.863
Cu Pt Br
1 2 1
Direct
0.000 0.000 0.000
0.234 0.734 0.500
0.478 0.478 0.000
0.724 0.224 0.500
```

Summary:
Density of states at the Fermi level   3.179 states/eV/cell
Distance to the lowest polymorph of the same formula   267 meV/atom
Formation energy (no corrections)   0.493 eV/atom



# 2
First-principles (PBE) data for crystalline Cu3PtBr at its relaxed geometry, as listed in the Alexandria database.

```
Cu3PtBr
1.0
4.773 0.000 0.000
0.000 4.773 0.000
0.000 0.000 4.773
Cu Pt Br
3 1 1
Direct
0.000 0.000 0.500
0.000 0.500 0.000
0.500 0.000 0.000
0.000 0.000 0.000
0.500 0.500 0.500
```

Summary:
Density of states at the Fermi level   1.860 states/eV/cell
Distance to the lowest polymorph of the same formula   0 meV/atom
Formation energy (no corrections)   0.689 eV/atom



# 3
First-principles (PBE) data for crystalline CuPtBr at its relaxed geometry, as listed in the Alexandria database.

```
CuPtBr
1.0
0.000 3.089 3.089
3.089 0.000 3.089
3.089 3.089 0.000
Cu Pt Br
1 1 1
Direct
0.000 0.000 0.000
0.750 0.750 0.750
0.500 0.500 0.500
```

Summary:
Density of states at the Fermi level   2.501 states/eV/cell
Distance to the lowest polymorph of the same formula   174 meV/atom
Formation energy (no corrections)   0.502 eV/atom



# 4
First-principles (PBE) data for crystalline CuPtBr5 at its relaxed geometry, as listed in the Alexandria database.

```
CuPtBr5
1.0
4.984 -4.544 0.000
4.984 4.544 0.000
-4.022 0.000 9.029
Cu Pt Br
2 2 10
Direct
0.041 0.959 0.750
0.959 0.041 0.250
0.000 0.500 0.000
0.500 0.000 0.500
0.163 0.633 0.848
0.199 0.242 0.481
0.237 0.763 0.250
0.242 0.199 0.981
0.367 0.837 0.652
0.633 0.163 0.348
0.758 0.801 0.019
0.763 0.237 0.750
0.801 0.758 0.519
0.837 0.367 0.152
```

Summary:
Density of states at the Fermi level   7.167 states/eV/cell
Formation energy (no corrections)   -0.234 eV/atom